VASP calculation (GGA+U) on FeHO3 after structural relaxation.

CIF file:
```
data_FeHO3
_chemical_formula_sum 'Fe1 H1 O3'
_cell_length_a 3.673
_cell_length_b 3.673
_cell_length_c 3.673
_cell_angle_alpha 90.00
_cell_angle_beta 90.00
_cell_angle_gamma 90.00
_space_group_name_H-M_alt 'P m -3 m'
_space_group_IT_number 221
_space_group_name_Hall '-P 4 2 3'
loop_
_atom_site_label
_atom_site_type_symbol
_atom_site_fract_x
_atom_site_fract_y
_atom_site_fract_z
Fe1 Fe 0.000 0.000 0.000
H1 H 0.500 0.500 0.500
O1 O 0.000 0.000 0.500
```

Summary:
VASP energy in eV per atom: -4.42
N(E_F) in states/eV per atom: 0.599